Version one
Crystalline ReHF3 at its relaxed geometry. Source: the Alexandria database, functional GGA-PBE.

Unit cell a=4.097 b=4.097 c=4.097 alpha=90.00 beta=90.00 gamma=90.00
Space group Pm-3m (No. 221)
One atom of each set of equivalent atoms:
Re 0.000 0.000 0.000 (multiplicity 1)
H 0.500 0.500 0.500 (multiplicity 1)
F 0.000 0.000 0.500 (multiplicity 3)


Version two
Crystalline ReHF3 at its relaxed geometry. Source: the Alexandria database, functional GGA-PBE.

Unit cell a=3.662 b=3.662 c=3.662 alpha=90.00 beta=90.00 gamma=90.00
Space group Pm-3m (No. 221)
One atom of each set of equivalent atoms:
Re 0.000 0.000 0.000 (multiplicity 1)
H 0.500 0.500 0.500 (multiplicity 1)
F 0.000 0.500 0.500 (multiplicity 3)


Q: What are the energies relative to the best structure? A: version one 0.0; version two 53.9, in kJ/mol of atoms.


Version one
Crystalline Re2H2F at its relaxed geometry. Source: the Alexandria database, functional GGA-PBE.

Unit cell a=6.078 b=6.078 c=2.697 alpha=90.00 beta=90.00 gamma=90.00
Space group P4/mbm (No. 127)
One atom of each set of equivalent atoms:
Re 0.134 0.366 0.000 (multiplicity 4)
H 0.130 0.630 0.500 (multiplicity 4)
F 0.000 0.000 0.500 (multiplicity 2)


Version two
Crystalline Re2H2F at its relaxed geometry. Source: the Alexandria database, functional GGA-PBE.

Unit cell a=3.546 b=3.546 c=9.431 alpha=90.00 beta=90.00 gamma=90.00
Space group I4/mmm (No. 139)
One atom of each set of equivalent atoms:
Re 0.000 0.500 0.250 (multiplicity 4)
H 0.000 0.000 0.140 (multiplicity 4)
F 0.000 0.000 0.500 (multiplicity 2)


Q: What are the energies relative to the best structure? A: version one 0.0; version two 2.2, in kJ/mol of atoms.


Version one
Crystalline ReH2F6 at its relaxed geometry. Source: the Alexandria database, functional GGA-PBE.

Unit cell a=5.141 b=5.564 c=8.909 alpha=90.00 beta=114.69 gamma=90.00
Space group P2_1/c (No. 14)
One atom of each set of equivalent atoms:
Re 0.000 0.000 0.000 (multiplicity 2)
H 0.203 0.153 0.323 (multiplicity 4)
F 0.099 0.194 0.416 (multiplicity 4)
F 0.276 0.679 0.449 (multiplicity 4)
F 0.287 0.095 0.230 (multiplicity 4)


Version two
Crystalline ReH2F6 at its relaxed geometry. Source: the Alexandria database, functional GGA-PBE.

Unit cell a=4.804 b=4.804 c=10.084 alpha=90.00 beta=90.00 gamma=90.00
Space group P4_2/mnm (No. 136)
One atom of each set of equivalent atoms:
Re 0.000 0.000 0.000 (multiplicity 2)
H 0.000 0.000 0.216 (multiplicity 4)
F 0.162 0.162 0.171 (multiplicity 8)
F 0.215 0.215 0.500 (multiplicity 4)


Q: What are the energies relative to the best structure? A: version one 0.0; version two 17.1, in kJ/mol of atoms.


Version one
Crystalline HRhF3 at its relaxed geometry. Source: the Alexandria database, functional GGA-PBE.

Unit cell a=4.047 b=4.047 c=4.047 alpha=90.00 beta=90.00 gamma=90.00
Space group Pm-3m (No. 221)
One atom of each set of equivalent atoms:
H 0.000 0.000 0.000 (multiplicity 1)
Rh 0.500 0.500 0.500 (multiplicity 1)
F 0.000 0.500 0.500 (multiplicity 3)


Version two
Crystalline HRhF3 at its relaxed geometry. Source: the Alexandria database, functional GGA-PBE.

Unit cell a=3.559 b=3.559 c=3.559 alpha=90.00 beta=90.00 gamma=90.00
Space group Pm-3m (No. 221)
One atom of each set of equivalent atoms:
H 0.000 0.000 0.000 (multiplicity 1)
Rh 0.500 0.500 0.500 (multiplicity 1)
F 0.000 0.000 0.500 (multiplicity 3)


Q: What are the energies relative to the best structure? A: version one 0.0; version two 16.1, in kJ/mol of atoms.